Below is an optimized crystal structure of Mg2CrPb, with properties calculated at the PBE level.

Computed properties:
The density of states at the Fermi level comes out at 2.2 states/eV/f.u. The crystal system is tetragonal. The value obtained for the formation energy from the elements is 2.04 eV per formula unit.

CIF file:
```
data_Mg2CrPb
_space_group_name_H-M_alt 'I -4 2 d'
_space_group_IT_number 122
_space_group_name_Hall 'I -4 2bw'
_cell_length_a 8.1024
_cell_length_b 8.1024
_cell_length_c 5.9178
_cell_angle_alpha 90.00
_cell_angle_beta 90.00
_cell_angle_gamma 90.00
loop_
_atom_site_label
_atom_site_type_symbol
_atom_site_fract_x
_atom_site_fract_y
_atom_site_fract_z
_atom_site_occupancy
Mg1 Mg 0.2322 0.7500 0.1250 1
Cr1 Cr 0.0000 0.0000 0.0000 1
Pb1 Pb 0.0000 0.0000 0.5000 1
```